## KLaPb4 (PBE)

Data for an optimized crystal structure of KLaPb4.

Geometry as POSCAR:
```
KLaPb4
1.0
0.000 4.673 4.673
4.673 0.000 4.673
4.673 4.673 0.000
Pb K La
4 1 1
Cartesian
5.870 3.476 5.870
3.476 3.476 3.476
3.476 5.870 5.870
5.870 5.870 3.476
7.009 7.009 7.009
0.000 0.000 0.000
```

Summary:
ΔH_f (0 K) (eV per atom): -0.202
Crystal system: cubic
Fermi-level density of states (states/eV/cell): 4.66